{"formula": "Pr4Tl", "functional": "PBE", "state": "optimized geometry", "e_above_lowest_polymorph_mev_per_atom": 50.9, "m_tot_mub_per_fu": 0.00, "cell": [[6.255, 1.833, 0.000], [0.762, 6.205, 0.000], [0.000, 0.000, 9.313]], "species": ["Pr", "Pr", "Pr", "Pr", "Pr", "Pr", "Pr", "Pr", "Tl", "Tl"], "fractional_positions": [[0.194, 0.937, 0.336], [0.806, 0.563, 0.336], [0.249, 0.477, 0.078], [0.751, 0.023, 0.078], [0.751, 0.523, 0.922], [0.249, 0.977, 0.922], [0.194, 0.437, 0.664], [0.806, 0.063, 0.664], [0.500, 0.750, 0.620], [0.500, 0.250, 0.380]]}

{"formula": "Pr4Tl5", "functional": "PBE", "state": "optimized geometry", "e_tot_ev_per_atom": -3.79, "m_tot_mub_per_fu": 0.00, "cell": [[6.728, 0.000, 0.000], [0.000, 9.690, 0.000], [0.000, -4.845, 8.392]], "species": ["Pr", "Pr", "Pr", "Pr", "Pr", "Pr", "Pr", "Pr", "Tl", "Tl", "Tl", "Tl", "Tl", "Tl", "Tl", "Tl", "Tl", "Tl"], "fractional_positions": [[0.000, 0.000, 0.000], [0.500, 0.000, 0.000], [0.750, 0.370, 0.370], [0.750, 0.000, 0.630], [0.750, 0.630, 0.000], [0.250, 0.630, 0.630], [0.250, 0.000, 0.370], [0.250, 0.370, 0.000], [0.750, 0.699, 0.699], [0.750, 0.000, 0.301], [0.750, 0.301, 0.000], [0.250, 0.301, 0.301], [0.250, 0.000, 0.699], [0.250, 0.699, 0.000], [0.000, 0.667, 0.333], [0.500, 0.333, 0.667], [0.000, 0.333, 0.667], [0.500, 0.667, 0.333]]}

{"formula": "PrTl6", "functional": "PBE", "state": "optimized geometry", "e_tot_ev_per_atom": -2.22, "m_tot_mub_per_fu": 0.00, "cell": [[7.211, 0.000, 0.000], [-2.404, 6.799, 0.000], [-2.404, -3.399, 5.888]], "species": ["Pr", "Tl", "Tl", "Tl", "Tl", "Tl", "Tl"], "fractional_positions": [[0.000, 0.000, 0.000], [0.250, 0.750, 0.500], [0.500, 0.750, 0.250], [0.250, 0.500, 0.750], [0.750, 0.250, 0.500], [0.500, 0.250, 0.750], [0.750, 0.500, 0.250]]}